An optimized crystal structure of PrNdAlPd. Source: the Alexandria database, functional PBE-GGA.

Cell and atoms, written as POSCAR:
```
PrNdAlPd
1.0
-0.314 1.006 -4.403
-4.246 -0.793 0.122
-0.770 4.654 3.446
Al Nd Pd Pr
1 1 1 1
direct
0.435 0.000 0.871
0.142 0.000 0.283
0.571 0.500 0.143
0.852 0.500 0.703
```

Properties
- Polymorph energy (0 for the lowest one): 0 meV/atom
- Formation energy: -0.54 eV per atom
- Calculated total energy: -5.1632 eV/atom
- Symmetry: Amm2 (38)